# SrScPb2, optimized geometry, DFT PBE-GGA
data_SrScPb2
_space_group_name_H-M_alt 'I -4 2 d'
_space_group_IT_number 122
_space_group_name_Hall 'I -4 2bw'
_cell_length_a 5.6919
_cell_length_b 5.6919
_cell_length_c 19.1844
_cell_angle_alpha 90.00
_cell_angle_beta 90.00
_cell_angle_gamma 90.00
loop_
_atom_site_label
_atom_site_fract_x
_atom_site_fract_y
_atom_site_fract_z
Sr1 0.0000 0.0000 0.0000
Sc1 0.0000 0.0000 0.5000
Pb1 0.1427 0.2500 0.6250
# Volume: 621.5 Å³/cell
# ΔE_f: -0.07 eV per atom
# VASP energy: -3.9233 eV/atom